1.
The following is a DFT calculation (PBE-GGA) of a geometry-optimized Zr4C3 structure.

a b c (Å): 9.7931 9.7931 9.7931
angles (deg): 160.69 160.69 27.44
Closest atoms and distances in Å follow each position.
Sites, in units of the cell vectors:
Zr (0.4310, 0.4310, 0.0000)  1 C 2.23
C (0.6860, 0.6860, 0.0000)  6 Zr 2.23-2.33
C (0.0000, 0.0000, 0.0000)  8 Zr 2.67
Zr (0.5690, 0.5690, 0.0000)  1 C 2.23
Zr (0.1926, 0.1926, 0.0000)  5 C 2.31-2.33
C (0.3140, 0.3140, 0.0000)  6 Zr 2.23-2.33
Zr (0.8074, 0.8074, 0.0000)  5 C 2.31-2.33

The calculation puts the density at 6.49 g cm⁻³. Its energy of formation from the pure elements is -324 meV/atom. The value obtained for the density of states at the Fermi level is 2.8 states/eV/f.u. Its volume is 103 Å³ per cell. The total magnetization is 0.000 μB per formula unit.

***

2.
The following is a DFT calculation (PBE-GGA) of a geometry-optimized Zr2C structure.

a b c (Å): 5.9274 5.9274 5.9274
angles (deg): 150.93 150.93 41.58
Closest atoms and distances in Å follow each position.
Sites, in units of the cell vectors:
Zr (0.1229, 0.1229, 0.0000)  4 C 2.51, 1 Zr 2.72
C (0.5000, 0.5000, 0.0000)  8 Zr 2.51
Zr (0.8771, 0.8771, 0.0000)  4 C 2.51, 1 Zr 2.72

The calculation puts the density at 6.58 g cm⁻³. Its energy of formation from the pure elements is 215 meV/atom. The value obtained for the density of states at the Fermi level is 3.3 states/eV/f.u. Its volume is 49 Å³ per cell. The total magnetization is 0.000 μB per formula unit.

***

3.
The following is a DFT calculation (PBE-GGA) of a geometry-optimized Zr2C structure.

a b c (Å): 3.6667 3.6667 6.9857
angles (deg): 90.00 90.00 90.00
Closest atoms and distances in Å follow each position.
Sites, in units of the cell vectors:
Zr (0.0000, 0.5000, 0.6299)  5 C 2.50-2.68
Zr (0.5000, 0.5000, 0.0000)  4 Zr 2.59, 4 C 2.64
Zr (0.5000, 0.0000, 0.3701)  5 C 2.50-2.68
C (0.0000, 0.5000, 0.2717)  9 Zr 2.50-2.68
Zr (0.0000, 0.0000, 0.0000)  4 Zr 2.59, 4 C 2.64
C (0.5000, 0.0000, 0.7283)  9 Zr 2.50-2.68

The calculation puts the density at 6.88 g cm⁻³. Its energy of formation from the pure elements is 102 meV/atom. The value obtained for the density of states at the Fermi level is 1.2 states/eV/f.u. Its volume is 94 Å³ per cell. The total magnetization is 0.000 μB per formula unit.

***

4.
The following is a DFT calculation (PBE-GGA) of a geometry-optimized ZrC2 structure.

a b c (Å): 3.2474 3.2474 3.2930
angles (deg): 90.00 90.00 120.00
Closest atoms and distances in Å follow each position.
Sites, in units of the cell vectors:
Zr (0.0000, 0.0000, 0.0000)  12 C 2.50
C (0.6667, 0.3333, 0.5000)  3 C 1.87
C (0.3333, 0.6667, 0.5000)  3 C 1.87

The calculation puts the density at 6.36 g cm⁻³. Its energy of formation from the pure elements is 811 meV/atom. The value obtained for the density of states at the Fermi level is 0.6 states/eV/f.u. Its volume is 30 Å³ per cell. The total magnetization is 0.000 μB per formula unit.

***

5.
The following is a DFT calculation (PBE-GGA) of a geometry-optimized Zr2C structure.

a b c (Å): 3.4088 5.5210 5.5212
angles (deg): 90.00 90.00 90.00
Closest atoms and distances in Å follow each position.
Sites, in units of the cell vectors:
C (0.5000, 0.5000, 0.5000)  6 Zr 2.32
Zr (0.0000, 0.2976, 0.7026)  3 C 2.32
Zr (0.0000, 0.7024, 0.2974)  3 C 2.32
Zr (0.5000, 0.2024, 0.2026)  3 C 2.32
Zr (0.5000, 0.7976, 0.7974)  3 C 2.32
C (0.0000, 0.0000, 0.0000)  6 Zr 2.32

The calculation puts the density at 6.22 g cm⁻³. Its energy of formation from the pure elements is -555 meV/atom. The value obtained for the density of states at the Fermi level is 2.3 states/eV/f.u. Its volume is 104 Å³ per cell. The total magnetization is 0.000 μB per formula unit.

***

6.
The following is a DFT calculation (PBE-GGA) of a geometry-optimized Zr5C structure.

a b c (Å): 3.1253 3.1253 11.9956
angles (deg): 90.00 90.00 90.00
Closest atoms and distances in Å follow each position.
Sites, in units of the cell vectors:
Zr (0.0000, 0.0000, 0.1094)  4 C 2.57, 1 Zr 2.62
Zr (0.0000, 0.0000, 0.8906)  4 C 2.57, 1 Zr 2.62
C (0.5000, 0.5000, 0.0000)  8 Zr 2.57
Zr (0.5000, 0.5000, 0.6979)  12 Zr 3.13-3.24
Zr (0.0000, 0.0000, 0.5000)  12 Zr 3.13-3.24
Zr (0.5000, 0.5000, 0.3021)  12 Zr 3.13-3.24

The calculation puts the density at 6.63 g cm⁻³. Its energy of formation from the pure elements is 130 meV/atom. The value obtained for the density of states at the Fermi level is 5.0 states/eV/f.u. Its volume is 117 Å³ per cell. The total magnetization is 0.000 μB per formula unit.

***

7.
The following is a DFT calculation (PBE-GGA) of a geometry-optimized ZrC5 structure.

a b c (Å): 5.5185 5.5185 4.0658
angles (deg): 86.10 86.10 27.33
Closest atoms and distances in Å follow each position.
Sites, in units of the cell vectors:
C (0.9614, 0.9614, 0.9979)  3 C 1.37-1.50
C (0.4462, 0.4462, 0.8208)  3 C 1.50-1.51
C (0.5220, 0.5220, 0.4948)  4 C 1.51-1.57
Zr (0.2396, 0.2396, 0.0059)  3 C 2.29-2.50
C (0.9974, 0.9974, 0.3152)  3 C 1.37-1.53
C (0.6668, 0.6668, 0.5321)  1 C 1.57

The calculation puts the density at 4.43 g cm⁻³. Its energy of formation from the pure elements is 587 meV/atom. The value obtained for the density of states at the Fermi level is 1.5 states/eV/f.u. Its volume is 57 Å³ per cell. The total magnetization is 0.000 μB per formula unit.

***

8.
The following is a DFT calculation (PBE-GGA) of a geometry-optimized ZrC5 structure.

a b c (Å): 4.6352 4.6352 2.5895
angles (deg): 90.00 90.00 120.00
Closest atoms and distances in Å follow each position.
Sites, in units of the cell vectors:
C (0.3333, 0.6667, 0.0000)  6 C 1.86
C (0.6667, 0.3333, 0.0000)  6 C 1.86
Zr (0.0000, 0.0000, 0.0000)  2 Zr 2.59, 18 C 2.65-2.68
C (0.0000, 0.5000, 0.5000)  4 C 1.86
C (0.5000, 0.0000, 0.5000)  4 C 1.86
C (0.5000, 0.5000, 0.5000)  4 C 1.86

The calculation puts the density at 5.21 g cm⁻³. Its energy of formation from the pure elements is 2446 meV/atom. The value obtained for the density of states at the Fermi level is 1.2 states/eV/f.u. Its volume is 48 Å³ per cell. The total magnetization is 0.000 μB per formula unit.

***

9.
The following is a DFT calculation (PBE-GGA) of a geometry-optimized Zr2C structure.

a b c (Å): 3.3486 3.3486 4.5784
angles (deg): 90.00 90.00 90.00
Closest atoms and distances in Å follow each position.
Sites, in units of the cell vectors:
Zr (0.5000, 0.5000, 0.0000)  4 C 2.37
Zr (0.0000, 0.0000, 0.5000)  2 C 2.29
C (0.0000, 0.0000, 0.0000)  6 Zr 2.29-2.37

The calculation puts the density at 6.29 g cm⁻³. Its energy of formation from the pure elements is -449 meV/atom. The value obtained for the density of states at the Fermi level is 2.7 states/eV/f.u. Its volume is 51 Å³ per cell. The total magnetization is 0.000 μB per formula unit.

***

10.
The following is a DFT calculation (PBE-GGA) of a geometry-optimized Zr2C structure.

a b c (Å): 6.2780 5.9354 3.1641
angles (deg): 81.08 69.06 29.86
Closest atoms and distances in Å follow each position.
Sites, in units of the cell vectors:
Zr (0.6325, 0.6325, 0.3675)  2 C 2.28
C (0.0000, 0.0000, 0.0000)  4 Zr 2.28
Zr (0.3675, 0.3675, 0.6325)  2 C 2.28

The calculation puts the density at 6.25 g cm⁻³. Its energy of formation from the pure elements is -45 meV/atom. The value obtained for the density of states at the Fermi level is 2.8 states/eV/f.u. Its volume is 52 Å³ per cell. The total magnetization is 0.000 μB per formula unit.

***

Q: The lowest energy of formation from the pure elements belongs to which entry?
A: number 5

***

Q: What is the formula in the sixth record?
A: Zr5C